Entry 1:
DFT (PBE) results for crystalline BeHg2WN at its relaxed geometry.

Geometry as CIF:
```
data_BeHg2WN
_cell_length_a 5.308
_cell_length_b 5.308
_cell_length_c 2.933
_cell_angle_alpha 90.00
_cell_angle_beta 90.00
_cell_angle_gamma 90.00
_symmetry_space_group_name_H-M 'P 4/m m m'
_symmetry_Int_Tables_number 123
_symmetry_space_group_name_Hall '-P 4 2'
loop_
_atom_site_label
_atom_site_fract_x
_atom_site_fract_y
_atom_site_fract_z
Be1 0.000 0.000 0.000
Hg1 0.000 0.500 0.500
W1 0.500 0.500 0.000
N1 0.000 0.000 0.500
```

Results
**Formation energy without anion corrections**: 0.740 eV per atom
**Crystal system**: tetragonal
**D(E_F)**: 3.5 states/eV per cell

---

Entry 2:
DFT (PBE) results for crystalline Er3In3PdRu2 at its relaxed geometry.

Geometry as CIF:
```
data_Er3In3PdRu2
_cell_length_a 7.5560
_cell_length_b 7.5560
_cell_length_c 3.8538
_cell_angle_alpha 90.00
_cell_angle_beta 90.00
_cell_angle_gamma 120.00
_symmetry_space_group_name_H-M 'P -6 2 m'
_symmetry_Int_Tables_number 189
_symmetry_space_group_name_Hall 'P -6 -2'
loop_
_atom_site_label
_atom_site_fract_x
_atom_site_fract_y
_atom_site_fract_z
Er1 0.0000 0.4081 0.0000
In1 0.0000 0.7355 0.5000
Pd1 0.0000 0.0000 0.0000
Ru1 0.3333 0.6667 0.5000
```

Results
**ΔE_f**: -523 meV/atom
**Crystal system**: hexagonal
**D(E_F)**: 7.6 states/eV per cell

---

Entry 3:
DFT (PBE) results for crystalline Cd2AgRh at its relaxed geometry.

Geometry as CIF:
```
data_Cd2AgRh
_cell_length_a 9.268
_cell_length_b 3.106
_cell_length_c 5.179
_cell_angle_alpha 90.00
_cell_angle_beta 102.01
_cell_angle_gamma 90.00
_symmetry_space_group_name_H-M 'C 1 2/m 1'
_symmetry_Int_Tables_number 12
loop_
_symmetry_equiv_pos_as_xyz
'x,y,z'
'-x,-y,-z'
'-x,y,-z'
'x,-y,z'
'x+1/2,y+1/2,z'
'-x+1/2,-y+1/2,-z'
'-x+1/2,y+1/2,-z'
'x+1/2,-y+1/2,z'
loop_
_atom_site_label
_atom_site_fract_x
_atom_site_fract_y
_atom_site_fract_z
Cd1 0.244 0.000 0.240
Ag1 0.000 0.000 0.500
Rh1 0.000 0.500 0.000
```

Results
**ΔE_f**: 11 meV/atom
**Energy above the lowest structure with this stoichiometry**: 119 meV per atom
**Crystal system**: monoclinic
**D(E_F)**: 4.4 states/eV per cell

---

Entry 4:
DFT (PBE) results for crystalline HgPRhS2 at its relaxed geometry.

Geometry as CIF:
```
data_HgPRhS2
_cell_length_a 4.942
_cell_length_b 4.942
_cell_length_c 4.919
_cell_angle_alpha 90.00
_cell_angle_beta 90.00
_cell_angle_gamma 90.00
_symmetry_space_group_name_H-M 'P 4/m m m'
_symmetry_Int_Tables_number 123
_symmetry_space_group_name_Hall '-P 4 2'
loop_
_atom_site_label
_atom_site_fract_x
_atom_site_fract_y
_atom_site_fract_z
Hg1 0.000 0.000 0.000
P1 0.000 0.000 0.500
Rh1 0.500 0.500 0.500
S1 0.000 0.500 0.000
```

Results
**Formation energy without anion corrections**: 1.541 eV per atom
**Energy above the lowest structure with this stoichiometry**: 1088 meV per atom
**Crystal system**: tetragonal
**D(E_F)**: 7.1 states/eV per cell

---

Entry 5:
DFT (PBE) results for crystalline Li2ZrBeO4 at its relaxed geometry.

Geometry as CIF:
```
data_Li2ZrBeO4
_cell_length_a 3.009
_cell_length_b 9.949
_cell_length_c 9.502
_cell_angle_alpha 90.00
_cell_angle_beta 90.00
_cell_angle_gamma 90.00
_symmetry_space_group_name_H-M 'C m c m'
_symmetry_Int_Tables_number 63
_symmetry_space_group_name_Hall '-C 2c 2'
loop_
_atom_site_label
_atom_site_fract_x
_atom_site_fract_y
_atom_site_fract_z
Li1 0.000 0.116 0.039
Zr1 0.000 0.410 0.250
Be1 0.000 0.316 0.750
O1 0.000 0.083 0.250
O2 0.000 0.206 0.631
O3 0.000 0.500 0.000
```

Results
**Formation energy without anion corrections**: -2.404 eV per atom
**Crystal system**: orthorhombic

---

Entry 6:
DFT (PBE) results for crystalline Pm5AlSn6 at its relaxed geometry.

Geometry as CIF:
```
data_Pm5AlSn6
_cell_length_a 4.708
_cell_length_b 9.229
_cell_length_c 15.034
_cell_angle_alpha 90.00
_cell_angle_beta 90.00
_cell_angle_gamma 90.00
_symmetry_space_group_name_H-M 'I m m m'
_symmetry_Int_Tables_number 71
_symmetry_space_group_name_Hall '-I 2 2'
loop_
_atom_site_label
_atom_site_fract_x
_atom_site_fract_y
_atom_site_fract_z
Pm1 0.000 0.000 0.000
Pm2 0.000 0.000 0.357
Pm3 0.000 0.500 0.329
Al1 0.000 0.500 0.000
Sn1 0.000 0.249 0.168
Sn2 0.000 0.258 0.500
```

Results
**ΔE_f**: -594 meV/atom
**Crystal system**: orthorhombic
**D(E_F)**: 18.0 states/eV per cell

---

Q: Which formula does entry 4 have?
A: HgPRhS2